[1]
Entry from the Open Quantum Materials Database: a relaxed ZrTa crystal (PBE-GGA).

abc: 4.001 4.001 4.001
angles: 60.00 60.00 60.00
Element x y z (fractional)
Zr1 0.500 0.500 0.500
Ta1 0.000 0.000 0.000

Results
Energy of formation: 1.147 eV per atom
SG: Fm-3m, No. 225
Size of the total moment: 0.01 μB/f.u.



[2]
Entry from the Open Quantum Materials Database: a relaxed ZrTa crystal (PBE-GGA).

abc: 5.489 5.943 5.054
angles: 90.00 90.00 90.00
Element x y z (fractional)
Zr1 0.525 0.256 0.000
Zr2 0.308 0.994 0.500
Zr3 0.025 0.994 0.000
Zr4 0.808 0.256 0.500
Ta1 0.033 0.511 0.000
Ta2 0.533 0.739 0.000
Ta3 0.300 0.511 0.500
Ta4 0.800 0.739 0.500

Results
Energy of formation: 0.203 eV per atom
SG: Pbcm, No. 57
Size of the total moment: 0.00 μB/f.u.



[3]
Entry from the Open Quantum Materials Database: a relaxed TbTc2 crystal (PBE-GGA).

abc: 8.852 8.852 8.852
angles: 60.00 60.00 60.00
Last column: magnetic moment on the atom in μB.
Element x y z (fractional)
Tb1 0.250 0.250 0.250  -0.22
Tb2 0.500 0.500 0.500  -0.22
Tc1 0.375 0.875 0.375  2.88
Tc2 0.875 0.375 0.375  2.60
Tc3 0.375 0.375 0.375  2.90
Tc4 0.375 0.375 0.875  2.95

Results
Energy of formation: 3.482 eV per atom
Distance to the lowest polymorph of the same formula: 3638 meV/atom
SG: Fd-3m, No. 227
Size of the total moment: 6.99 μB/f.u.



[4]
Entry from the Open Quantum Materials Database: a relaxed TbTc2 crystal (PBE-GGA).

abc: 5.383 5.383 8.875
angles: 90.00 90.00 120.01
Element x y z (fractional)
Tb1 0.167 0.833 0.437
Tb2 0.833 0.167 0.563
Tb3 0.167 0.833 0.063
Tb4 0.833 0.167 0.937
Tc1 0.158 0.329 0.250
Tc2 0.329 0.158 0.750
Tc3 0.842 0.671 0.750
Tc4 0.671 0.842 0.250
Tc5 0.671 0.329 0.250
Tc6 0.329 0.671 0.750
Tc7 0.500 0.500 0.000
Tc8 0.500 0.500 0.500

Results
Energy of formation: -0.156 eV per atom
Distance to the lowest polymorph of the same formula: 0 meV/atom
SG: P6_3/mmc, No. 194
Size of the total moment: 0.00 μB/f.u.



[5]
Entry from the Open Quantum Materials Database: a relaxed TbTc2 crystal (PBE-GGA).

abc: 8.874 5.383 5.383
angles: 60.00 90.00 90.00
Element x y z (fractional)
Tb1 0.187 0.667 0.667
Tb2 0.687 0.333 0.333
Tb3 0.313 0.333 0.333
Tb4 0.813 0.667 0.667
Tc1 0.000 0.171 0.171
Tc2 0.750 0.000 0.000
Tc3 0.500 0.829 0.829
Tc4 0.000 0.171 0.658
Tc5 0.500 0.829 0.342
Tc6 0.000 0.658 0.171
Tc7 0.250 0.000 0.000
Tc8 0.500 0.342 0.829

Results
Energy of formation: -0.156 eV per atom
Distance to the lowest polymorph of the same formula: 0 meV/atom
SG: P6_3/mmc, No. 194
Size of the total moment: 0.01 μB/f.u.



[6]
Entry from the Open Quantum Materials Database: a relaxed TbTc2 crystal (PBE-GGA).

abc: 5.402 5.402 5.402
angles: 60.00 60.00 60.00
Element x y z (fractional)
Tc1 0.625 0.625 0.125
Tc2 0.625 0.625 0.625
Tc3 0.125 0.625 0.625
Tc4 0.625 0.125 0.625
Tb1 0.250 0.250 0.250
Tb2 0.000 0.000 0.000

Results
Energy of formation: -0.122 eV per atom
Distance to the lowest polymorph of the same formula: 34 meV/atom
SG: Fd-3m, No. 227
Size of the total moment: 0.00 μB/f.u.



[7]
Entry from the Open Quantum Materials Database: a relaxed TbTc2 crystal (PBE-GGA).

abc: 4.472 4.472 4.472
angles: 60.00 60.00 60.00
Last column: magnetic moment on the atom in μB.
Element x y z (fractional)
Tc1 0.250 0.250 0.250  1.09
Tc2 0.750 0.750 0.750  1.09
Tb1 0.000 0.000 0.000  0.09

Results
Energy of formation: 1.491 eV per atom
Distance to the lowest polymorph of the same formula: 1647 meV/atom
SG: Fm-3m, No. 225
Size of the total moment: 2.42 μB/f.u.



[8]
Entry from the Open Quantum Materials Database: a relaxed Tb2Tc crystal (PBE-GGA).

abc: 8.155 8.155 8.155
angles: 60.00 60.00 60.00
Last column: magnetic moment on the atom in μB.
Element x y z (fractional)
Tc1 0.500 0.500 0.500  -0.04
Tc2 0.250 0.250 0.250  -0.04
Tb1 0.875 0.375 0.375  0.16
Tb2 0.375 0.375 0.875  0.23
Tb3 0.375 0.375 0.375  0.22
Tb4 0.375 0.875 0.375  0.21

Results
Energy of formation: 1.269 eV per atom
Distance to the lowest polymorph of the same formula: 1111 meV/atom
SG: Fd-3m, No. 227
Size of the total moment: 1.00 μB/f.u.



[9]
Entry from the Open Quantum Materials Database: a relaxed Tb2Tc crystal (PBE-GGA).

abc: 5.862 5.862 5.862
angles: 60.00 60.00 60.00
Element x y z (fractional)
Tb1 0.625 0.625 0.125
Tb2 0.625 0.625 0.625
Tb3 0.625 0.125 0.625
Tb4 0.125 0.625 0.625
Tc1 0.250 0.250 0.250
Tc2 0.000 0.000 0.000

Results
Energy of formation: 1.128 eV per atom
Distance to the lowest polymorph of the same formula: 970 meV/atom
SG: Fd-3m, No. 227
Size of the total moment: 0.01 μB/f.u.



[10]
Entry from the Open Quantum Materials Database: a relaxed Tb2Tc crystal (PBE-GGA).

abc: 4.792 4.792 4.792
angles: 60.00 60.00 60.00
Element x y z (fractional)
Tb1 0.750 0.750 0.750
Tb2 0.250 0.250 0.250
Tc1 0.000 0.000 0.000

Results
Energy of formation: 0.158 eV per atom
Distance to the lowest polymorph of the same formula: 0 meV/atom
SG: Fm-3m, No. 225
Size of the total moment: 0.01 μB/f.u.



[11]
Entry from the Open Quantum Materials Database: a relaxed Tb6TcTe2 crystal (PBE-GGA).

abc: 8.355 8.355 4.077
angles: 90.00 90.00 120.00
Element x y z (fractional)
Tb1 0.762 0.000 0.000
Tb2 0.000 0.762 0.000
Tb3 0.000 0.395 0.500
Tb4 0.605 0.605 0.500
Tb5 0.238 0.238 0.000
Tb6 0.395 0.000 0.500
Tc1 0.000 0.000 0.500
Te1 0.333 0.667 0.000
Te2 0.667 0.333 0.000

Results
Total DFT energy (no corrections): -5.598 eV/atom
SG: P-62m, No. 189
Size of the total moment: 0.02 μB/f.u.



[12]
Entry from the Open Quantum Materials Database: a relaxed TbTcTe crystal (PBE-GGA).

abc: 4.725 4.725 4.725
angles: 60.00 60.00 60.00
Element x y z (fractional)
Tb1 0.250 0.250 0.250
Te1 0.000 0.000 0.000
Tc1 0.750 0.750 0.750

Results
Total DFT energy (no corrections): -5.946 eV/atom
SG: F-43m, No. 216
Size of the total moment: 1.78 μB/f.u.



[13]
Entry from the Open Quantum Materials Database: a relaxed Tb2ThTc crystal (PBE-GGA).

abc: 3.932 9.481 6.329
angles: 90.00 108.10 90.00
Element x y z (fractional)
Th1 0.577 0.250 0.154
Th2 0.423 0.750 0.846
Tc1 0.771 0.750 0.541
Tc2 0.229 0.250 0.459
Tb1 0.144 0.928 0.289
Tb2 0.856 0.072 0.711
Tb3 0.144 0.572 0.289
Tb4 0.856 0.428 0.711

Results
Energy of formation: -0.109 eV per atom
SG: Cmcm, No. 63
Size of the total moment: 0.01 μB/f.u.



[14]
Entry from the Open Quantum Materials Database: a relaxed TbTlTc crystal (PBE-GGA).

abc: 4.748 4.748 4.748
angles: 60.00 60.00 60.00
Element x y z (fractional)
Tc1 0.750 0.750 0.750
Tl1 0.000 0.000 0.000
Tb1 0.250 0.250 0.250

Results
Total DFT energy (no corrections): -5.136 eV/atom
SG: F-43m, No. 216
Size of the total moment: 0.24 μB/f.u.



[15]
Entry from the Open Quantum Materials Database: a relaxed TbTmTc crystal (PBE-GGA).

abc: 4.742 4.742 4.742
angles: 60.00 60.00 60.00
Element x y z (fractional)
Tb1 0.250 0.250 0.250
Tm1 0.000 0.000 0.000
Tc1 0.750 0.750 0.750

Results
Energy of formation: 0.908 eV per atom
SG: F-43m, No. 216
Size of the total moment: 0.03 μB/f.u.



[16]
Entry from the Open Quantum Materials Database: a relaxed TbUTc2 crystal (PBE-GGA).

abc: 3.369 3.369 7.028
angles: 90.00 90.00 90.00
Element x y z (fractional)
U1 0.000 0.000 0.000
Tc1 0.500 0.500 0.206
Tc2 0.500 0.500 0.794
Tb1 0.000 0.000 0.500

Results
Energy of formation: -0.139 eV per atom
SG: P4/mmm, No. 123
Size of the total moment: 0.01 μB/f.u.



[17]
Entry from the Open Quantum Materials Database: a relaxed TbTc2W2 crystal (PBE-GGA).

abc: 6.118 6.118 6.118
angles: 138.73 138.73 59.78
Element x y z (fractional)
Tc1 0.378 0.378 0.000
Tc2 0.622 0.622 0.000
W1 0.250 0.750 0.500
W2 0.750 0.250 0.500
Tb1 0.000 0.000 0.000

Results
Energy of formation: 0.103 eV per atom
Distance to the lowest polymorph of the same formula: 0 meV/atom
SG: I4/mmm, No. 139
Size of the total moment: 0.01 μB/f.u.



[18]
Entry from the Open Quantum Materials Database: a relaxed TbTc2W2 crystal (PBE-GGA).

abc: 5.993 5.993 5.993
angles: 137.02 137.02 62.41
Element x y z (fractional)
W1 0.627 0.627 0.000
W2 0.373 0.373 0.000
Tc1 0.750 0.250 0.500
Tc2 0.250 0.750 0.500
Tb1 0.000 0.000 0.000

Results
Energy of formation: 0.199 eV per atom
Distance to the lowest polymorph of the same formula: 96 meV/atom
SG: I4/mmm, No. 139
Size of the total moment: 0.00 μB/f.u.



[19]
Entry from the Open Quantum Materials Database: a relaxed TbY2Tc crystal (PBE-GGA).

abc: 7.422 9.217 6.304
angles: 90.00 90.00 90.00
Element x y z (fractional)
Y1 0.677 0.064 0.839
Y2 0.177 0.436 0.661
Y3 0.823 0.564 0.339
Y4 0.323 0.564 0.161
Y5 0.677 0.436 0.839
Y6 0.323 0.936 0.161
Y7 0.177 0.064 0.661
Y8 0.823 0.936 0.339
Tc1 0.885 0.250 0.535
Tc2 0.615 0.750 0.035
Tc3 0.115 0.750 0.465
Tc4 0.385 0.250 0.965
Tb1 0.456 0.750 0.630
Tb2 0.544 0.250 0.370
Tb3 0.956 0.750 0.870
Tb4 0.044 0.250 0.130

Results
Energy of formation: -0.088 eV per atom
SG: Pnma, No. 62
Size of the total moment: 0.02 μB/f.u.



[20]
Entry from the Open Quantum Materials Database: a relaxed TbZnTc crystal (PBE-GGA).

abc: 4.462 4.462 4.462
angles: 60.00 60.00 60.00
Last column: magnetic moment on the atom in μB.
Element x y z (fractional)
Tc1 0.750 0.750 0.750  0.27
Zn1 0.000 0.000 0.000  -0.01
Tb1 0.250 0.250 0.250  -0.06

Results
Energy of formation: 0.392 eV per atom
SG: F-43m, No. 216
Size of the total moment: 0.23 μB/f.u.